Entry from the Alexandria database: an optimized crystal structure of Tm2AsBr3 (PBE).

Structure (POSCAR):
```
Tm2AsBr3
1.0
8.6431 -2.1177 0.0000
8.6431 2.1177 0.0000
-7.4785 0.0000 10.3924
Tm As Br
4 2 6
Cartesian
-1.6082 0.0000 4.7359
4.9958 0.0000 1.8211
4.8120 0.0000 8.5713
11.4159 0.0000 5.6566
-3.3584 0.0000 6.9202
13.1662 0.0000 3.4723
2.7042 0.0000 0.1441
1.5732 0.0000 4.1372
2.1537 0.0000 7.6868
7.6541 0.0000 2.7057
8.2345 0.0000 6.2553
7.1035 0.0000 10.2484
```

Computed properties:
Calculated total energy = -28.00 eV per formula unit
Space-group type = C2/m, No. 12
Raw formation energy = -1.56 eV per atom